[1]
Below is a geometry-optimized LaPa4Tc3N12 structure, with properties calculated at the PBE-GGA level.

Cell: 7.1434 7.1434 7.1434 Å, 109.47 109.47 109.47°
Last column: nearest neighbours and their distance in Å.
Atoms (fractional coordinates):
La: 0.0000 0.0000 0.0000  12 N 2.94
Pa: 0.0000 0.0000 0.5000  6 N 2.26
Pa: 0.0000 0.5000 0.0000  6 N 2.26
Pa: 0.5000 0.0000 0.0000  6 N 2.26
Pa: 0.5000 0.5000 0.5000  6 N 2.26
Tc: 0.0000 0.5000 0.5000  4 N 2.00
Tc: 0.5000 0.0000 0.5000  4 N 2.00
Tc: 0.5000 0.5000 0.0000  4 N 2.00
N: 0.1575 0.3177 0.8397  1 Tc 2.00
N: 0.1603 0.4780 0.3177  1 Tc 2.00
N: 0.1603 0.8425 0.6823  1 Tc 2.00
N: 0.3177 0.1603 0.4780  1 Tc 2.00
N: 0.3177 0.8397 0.1575  1 Tc 2.00
N: 0.4780 0.3177 0.1603  1 Tc 2.00
N: 0.5220 0.6823 0.8397  1 Tc 2.00
N: 0.6823 0.1603 0.8425  1 Tc 2.00
N: 0.6823 0.8397 0.5220  1 Tc 2.00
N: 0.8397 0.1575 0.3177  1 Tc 2.00
N: 0.8397 0.5220 0.6823  1 Tc 2.00
N: 0.8425 0.6823 0.1603  1 Tc 2.00

Results
- uncorrected formation energy (eV/atom) = -0.66
- SG = No. 204

***

[2]
Below is a geometry-optimized La2NdEr3Tm6 structure, with properties calculated at the PBE-GGA level.

Cell: 6.1637 6.1637 11.7124 Å, 95.03 95.03 119.97°
Last column: nearest neighbours and their distance in Å.
Atoms (fractional coordinates):
La: 0.1666 0.8334 0.0000  3 La 3.56, 3 Nd 3.56, 6 Tm 3.60
La: 0.8334 0.1666 0.0000  3 La 3.56, 3 Nd 3.56, 6 Tm 3.60
Nd: 0.5000 0.5000 0.0000  6 La 3.56, 6 Tm 3.59-3.60
Er: 0.0000 0.0000 0.5000  6 Tm 3.48-3.49, 6 Er 3.56
Er: 0.3335 0.6665 0.5000  6 Tm 3.48-3.49, 6 Er 3.55-3.56
Er: 0.6665 0.3335 0.5000  6 Tm 3.48-3.49, 6 Er 3.55-3.56
Tm: 0.0812 0.4140 0.7440  3 Er 3.48-3.49, 6 Tm 3.55-3.56, 2 La 3.60, 1 Nd 3.60
Tm: 0.2533 0.2533 0.2559  3 Er 3.48-3.49, 6 Tm 3.55-3.56, 1 Nd 3.59, 2 La 3.60
Tm: 0.4140 0.0812 0.7440  3 Er 3.48-3.49, 6 Tm 3.55-3.56, 2 La 3.60, 1 Nd 3.60
Tm: 0.5860 0.9188 0.2560  3 Er 3.48-3.49, 6 Tm 3.55-3.56, 2 La 3.60, 1 Nd 3.60
Tm: 0.7467 0.7467 0.7441  3 Er 3.48-3.49, 6 Tm 3.55-3.56, 1 Nd 3.59, 2 La 3.60
Tm: 0.9188 0.5860 0.2560  3 Er 3.48-3.49, 6 Tm 3.55-3.56, 2 La 3.60, 1 Nd 3.60

Results
- SG = No. 12
- DFT formation energy (eV per atom) = 0.03

***

[3]
Below is a geometry-optimized Zn7Ir3Pt2 structure, with properties calculated at the PBE-GGA level.

Cell: 11.9565 11.9565 3.8176 Å, 90.00 90.00 160.06°
Last column: nearest neighbours and their distance in Å.
Atoms (fractional coordinates):
Zn: 0.0000 0.0000 0.0000  8 Zn 2.70-2.76, 4 Ir 2.82
Zn: 0.0809 0.9191 0.5000  4 Ir 2.62-2.81, 2 Pt 2.66, 6 Zn 2.70-2.82
Zn: 0.2763 0.7237 0.0000  2 Zn 2.41, 2 Pt 2.56, 2 Ir 2.59
Zn: 0.4227 0.5773 0.0000  4 Ir 2.55-2.64, 6 Zn 2.76-2.82, 2 Pt 2.84
Zn: 0.5773 0.4227 0.0000  4 Ir 2.55-2.64, 6 Zn 2.76-2.82, 2 Pt 2.84
Zn: 0.7237 0.2763 0.0000  2 Zn 2.41, 2 Pt 2.56, 2 Ir 2.59
Zn: 0.9191 0.0809 0.5000  4 Ir 2.62-2.81, 2 Pt 2.66, 6 Zn 2.70-2.82
Ir: 0.3509 0.6491 0.5000  6 Zn 2.55-2.62, 4 Pt 2.83
Ir: 0.5000 0.5000 0.5000  12 Zn 2.64-2.82
Ir: 0.6491 0.3509 0.5000  6 Zn 2.55-2.62, 4 Pt 2.83
Pt: 0.1599 0.8401 0.0000  7 Zn 2.56-2.84, 4 Ir 2.83
Pt: 0.8401 0.1599 0.0000  7 Zn 2.56-2.84, 4 Ir 2.83

Results
- SG = No. 65
- DFT formation energy (eV per atom) = -0.10

***

[4]
Below is a geometry-optimized Pm2Ho3Ga2 structure, with properties calculated at the PBE-GGA level.

Cell: 6.3881 6.3881 8.5682 Å, 112.03 112.03 38.31°
Last column: nearest neighbours and their distance in Å.
Atoms (fractional coordinates):
Pm: 0.1493 0.1493 0.3078  3 Ga 3.09-3.39
Pm: 0.8507 0.8507 0.6922  3 Ga 3.09-3.39
Ho: 0.3779 0.3779 0.0609  3 Ga 3.04-3.05
Ho: 0.5000 0.5000 0.5000  4 Ga 2.99
Ho: 0.6221 0.6221 0.9391  3 Ga 3.04-3.05
Ga: 0.1691 0.1691 0.7136  5 Ho 2.99-3.05, 2 Pm 3.09
Ga: 0.8309 0.8309 0.2864  5 Ho 2.99-3.05, 2 Pm 3.09

Results
- SG = No. 12
- DFT formation energy (eV per atom) = -0.31

***

[5]
Below is a geometry-optimized Li2ZrInO4 structure, with properties calculated at the PBE-GGA level.

Cell: 6.5113 6.5113 6.5113 Å, 141.88 141.88 55.02°
Last column: nearest neighbours and their distance in Å.
Atoms (fractional coordinates):
Li: 0.0000 0.0000 0.0000  4 O 2.24
Li: 0.7500 0.2500 0.5000  4 O 2.13
Zr: 0.2500 0.7500 0.5000  6 O 2.13-2.18
In: 0.5000 0.5000 0.0000  4 O 2.24
O: 0.0613 0.5613 0.5000  1 Zr 2.18, 2 In 2.24, 2 Li 2.24
O: 0.2522 0.2522 0.0000  2 Zr 2.13, 2 Li 2.13
O: 0.4387 0.9387 0.5000  1 Zr 2.18, 2 In 2.24, 2 Li 2.24
O: 0.7478 0.7478 0.0000  2 Zr 2.13, 2 Li 2.13

Results
- uncorrected formation energy (eV/atom) = -2.16
- SG = No. 119

***

[6]
Below is a geometry-optimized Ta3V2Mo structure, with properties calculated at the PBE-GGA level.

Cell: 7.1358 7.1358 6.3796 Å, 90.00 90.00 143.05°
Last column: nearest neighbours and their distance in Å.
Atoms (fractional coordinates):
Ta: 0.0000 0.0000 0.2482  2 Mo 2.75, 6 V 2.76-2.77
Ta: 0.0000 0.0000 0.7518  2 Mo 2.75, 6 V 2.76-2.77
Ta: 0.3334 0.6666 0.2480  5 V 2.75-2.77, 3 Mo 2.77-2.80
Ta: 0.3334 0.6666 0.7520  5 V 2.75-2.77, 3 Mo 2.77-2.80
Ta: 0.6666 0.3334 0.2480  5 V 2.75-2.77, 3 Mo 2.77-2.80
Ta: 0.6666 0.3334 0.7520  5 V 2.75-2.77, 3 Mo 2.77-2.80
V: 0.1667 0.8333 0.0000  8 Ta 2.76
V: 0.5000 0.5000 0.0000  8 Ta 2.75-2.76
V: 0.5000 0.5000 0.5000  8 Ta 2.77
V: 0.8333 0.1667 0.0000  8 Ta 2.76
Mo: 0.1645 0.8355 0.5000  8 Ta 2.75-2.80
Mo: 0.8355 0.1645 0.5000  8 Ta 2.75-2.80

Results
- SG = No. 65
- DFT formation energy (eV per atom) = -0.05